Entry 1:
Material: LiAcPmSi
Method: DFT, PBE-GGA
State: optimized geometry

Structure (CIF):
```
data_LiAcPmSi
_chemical_formula_sum 'Li4 Ac4 Pm4 Si4'
_cell_length_a 7.517
_cell_length_b 7.517
_cell_length_c 7.517
_cell_angle_alpha 90.00
_cell_angle_beta 90.00
_cell_angle_gamma 90.00
_symmetry_space_group_name_H-M 'F -4 3 m'
_symmetry_Int_Tables_number 216
_symmetry_space_group_name_Hall 'F -4 2 3'
loop_
_atom_site_label
_atom_site_type_symbol
_atom_site_fract_x
_atom_site_fract_y
_atom_site_fract_z
Li1 Li 0.000 0.000 0.000
Ac1 Ac 0.250 0.250 0.750
Pm1 Pm 0.250 0.250 0.250
Si1 Si 0.000 0.000 0.500
```

## Properties
- Final energy: -4.29 eV/atom
- Spin magnetization: 0.0 μB/cell
- DOS at the Fermi energy: 10.79 states/eV/cell

***

Entry 2:
Material: Li2AcPm2Si2
Method: DFT, PBE-GGA
State: optimized geometry

Structure (CIF):
```
data_Li2AcPm2Si2
_chemical_formula_sum 'Li6 Ac3 Pm6 Si6'
_cell_length_a 4.6058
_cell_length_b 4.6058
_cell_length_c 28.1262
_cell_angle_alpha 90.00
_cell_angle_beta 90.00
_cell_angle_gamma 120.00
_symmetry_space_group_name_H-M 'R -3 m'
_symmetry_Int_Tables_number 166
_symmetry_space_group_name_Hall '-R 3 2"'
loop_
_atom_site_label
_atom_site_type_symbol
_atom_site_fract_x
_atom_site_fract_y
_atom_site_fract_z
Li1 Li 0.0000 0.0000 0.0883
Ac1 Ac 0.0000 0.0000 0.5000
Pm1 Pm 0.0000 0.0000 0.3698
Si1 Si 0.0000 0.0000 0.2444
```

## Properties
- Final energy: -4.42 eV/atom
- Spin magnetization: 0.0 μB/cell
- DOS at the Fermi energy: 14.66 states/eV/cell

***

final energy of number 2 (Li2AcPm2Si2)?
-4.42 eV/atom